{"formula": "RbNaCoRe", "functional": "PBE-GGA", "state": "optimized geometry", "sg": "F-43m, No. 216", "de_polymorph_mev_per_atom": 418, "total_magnetization_mub_per_atom": 1.421, "lattice_angstrom": [[0.000, 3.712, 3.712], [3.712, 0.000, 3.712], [3.712, 3.712, 0.000]], "species": ["Rb", "Co", "Na", "Re"], "fractional_positions": [[0.250, 0.250, 0.250], [0.500, 0.500, 0.500], [0.750, 0.750, 0.750], [0.000, 0.000, 0.000]]}

=====

{"formula": "GdHoTh", "functional": "PBE-GGA", "state": "optimized geometry", "formation_enthalpy_0k_ev_per_atom": 0.797, "sg": "F-43m, No. 216", "total_magnetization_mub_per_atom": 0.009, "lattice_angstrom": [[-4.341, -2.934, 1.367], [-3.868, 2.173, 3.104], [-4.839, 1.171, -2.128]], "species": ["Gd", "Ho", "Th"], "fractional_positions": [[0.250, 0.250, 0.250], [0.000, 0.000, 0.000], [0.750, 0.750, 0.750]]}

=====

{"formula": "Gd3Mg2InIr2Au", "functional": "PBE-GGA", "state": "optimized geometry", "dft_energy_ev_per_atom": -5.21, "sg": "Amm2, No. 38", "total_magnetization_mub_per_atom": 0.002, "lattice_angstrom": [[-3.594, 0.612, 1.709], [2.304, -3.628, 6.145], [1.014, 7.412, -0.521]], "species": ["Mg", "Au", "Mg", "Ir", "Gd", "In", "Gd", "Gd", "Ir"], "fractional_positions": [[0.500, 0.255, 0.998], [0.000, 0.015, 0.015], [0.500, 0.998, 0.255], [0.500, 0.662, 0.327], [0.000, 0.419, 0.419], [0.500, 0.745, 0.745], [0.000, 0.583, 0.995], [0.000, 0.995, 0.583], [0.500, 0.327, 0.662]]}

=====

{"formula": "MgZnSO", "functional": "PBE-GGA", "state": "optimized geometry", "sg": "P4/nmm, No. 129", "de_polymorph_mev_per_atom": 538, "lattice_angstrom": [[-0.609, -0.105, 3.360], [2.528, -2.264, 0.388], [7.290, 8.411, 1.582]], "species": ["S", "O", "Zn", "Zn", "O", "S", "Mg", "Mg"], "fractional_positions": [[0.500, 0.500, 0.143], [0.000, 0.000, 0.591], [0.000, 0.500, 0.000], [0.500, 0.000, 0.000], [0.500, 0.500, 0.409], [0.000, 0.000, 0.857], [0.500, 0.500, 0.584], [0.000, 0.000, 0.416]]}

=====

{"formula": "BaZn", "functional": "PBE-GGA", "state": "optimized geometry", "dft_energy_ev_per_atom": -1.48, "sg": "Pmm2, No. 25", "lattice_angstrom": [[-2.773, -5.578, 1.874], [0.898, -4.872, -13.177], [4.748, -2.003, 1.064]], "species": ["Ba", "Ba", "Zn", "Ba", "Ba", "Zn", "Zn", "Ba", "Zn", "Zn", "Zn", "Zn", "Ba", "Ba", "Ba", "Zn"], "fractional_positions": [[0.530, 0.633, 0.000], [0.980, 0.508, 0.000], [0.878, 0.651, 0.500], [0.354, 0.492, 0.500], [0.980, 0.992, 0.000], [0.033, 0.750, 0.000], [0.878, 0.849, 0.500], [0.804, 0.367, 0.500], [0.299, 0.250, 0.500], [0.097, 0.250, 0.000], [0.237, 0.750, 0.500], [0.455, 0.151, 0.000], [0.530, 0.867, 0.000], [0.804, 0.133, 0.500], [0.354, 0.008, 0.500], [0.455, 0.349, 0.000]]}

=====

{"formula": "HfZrH2Os", "functional": "PBE-GGA", "state": "optimized geometry", "dft_energy_ev_per_atom": -7.88, "sg": "I4mm, No. 107", "total_magnetization_mub_per_atom": 0.001, "lattice_angstrom": [[4.900, 3.344, -2.589], [1.910, 6.148, -0.667], [-2.276, -4.884, 3.585]], "species": ["H", "Hf", "Zr", "Os", "H"], "fractional_positions": [[0.751, 0.251, 0.500], [0.363, 0.363, 0.000], [0.639, 0.639, 0.000], [0.997, 0.997, 0.000], [0.251, 0.751, 0.500]]}

=====

{"formula": "Nd3Pd", "functional": "PBE-GGA", "state": "optimized geometry", "formation_enthalpy_0k_ev_per_atom": -0.412, "sg": "Pnma, No. 62", "total_magnetization_mub_per_atom": 0.001, "lattice_angstrom": [[-4.032, 5.086, -3.349], [-5.914, 0.629, 8.077], [3.882, 4.708, 2.476]], "species": ["Pd", "Nd", "Nd", "Nd", "Pd", "Nd", "Nd", "Nd", "Pd", "Nd", "Nd", "Nd", "Nd", "Pd", "Nd", "Nd"], "fractional_positions": [[0.385, 0.250, 0.925], [0.525, 0.250, 0.361], [0.475, 0.750, 0.639], [0.818, 0.941, 0.335], [0.885, 0.250, 0.575], [0.682, 0.441, 0.835], [0.025, 0.250, 0.139], [0.682, 0.059, 0.835], [0.115, 0.750, 0.425], [0.182, 0.059, 0.665], [0.318, 0.941, 0.165], [0.182, 0.441, 0.665], [0.318, 0.559, 0.165], [0.615, 0.750, 0.075], [0.975, 0.750, 0.861], [0.818, 0.559, 0.335]]}

=====

{"formula": "Cs2HgSe2", "functional": "PBE-GGA", "state": "optimized geometry", "sg": "C2/m, No. 12", "de_polymorph_mev_per_atom": 17, "lattice_angstrom": [[7.855, -3.651, 0.000], [7.855, 3.651, 0.000], [-5.196, 0.000, 8.294]], "species": ["Se", "Cs", "Hg", "Se", "Cs", "Cs", "Cs", "Se", "Hg", "Se"], "fractional_positions": [[0.810, 0.810, 0.891], [0.671, 0.671, 0.088], [0.353, 0.353, 0.376], [0.472, 0.472, 0.679], [0.329, 0.329, 0.912], [0.039, 0.039, 0.277], [0.961, 0.961, 0.723], [0.528, 0.528, 0.321], [0.647, 0.647, 0.624], [0.190, 0.190, 0.109]]}

=====

{"formula": "Gd2H2BrClO2", "functional": "PBE-GGA", "state": "optimized geometry", "dft_energy_ev_per_atom": -5.35, "sg": "P3m1, No. 156", "total_magnetization_mub_per_atom": 0.075, "lattice_angstrom": [[-0.965, 2.245, 3.029], [-2.704, -2.198, -1.733], [2.079, -7.408, 6.153]], "species": ["O", "Cl", "H", "O", "Gd", "Br", "Gd", "H"], "fractional_positions": [[0.667, 0.333, 0.436], [0.333, 0.667, 0.695], [0.667, 0.333, 0.337], [0.667, 0.333, 0.914], [0.000, 0.000, 0.522], [0.000, 0.000, 0.190], [0.333, 0.667, 0.988], [0.667, 0.333, 0.814]]}

=====

{"formula": "Rb2SrAgF6", "functional": "PBE-GGA", "state": "optimized geometry", "dft_energy_ev_per_atom": -4.29, "sg": "P2_1/c, No. 14", "lattice_angstrom": [[6.182, 0.000, 0.000], [0.000, 6.188, 0.000], [-6.166, 0.000, 8.861]], "species": ["F", "Rb", "Sr", "Rb", "Rb", "Rb", "Ag", "Sr", "Ag", "F", "F", "F", "F", "F", "F", "F", "F", "F", "F", "F"], "fractional_positions": [[0.852, 0.299, 0.539], [0.760, 0.449, 0.251], [0.500, 0.000, 0.000], [0.240, 0.949, 0.249], [0.240, 0.551, 0.749], [0.760, 0.051, 0.751], [0.000, 0.500, 0.000], [0.500, 0.500, 0.500], [0.000, 0.000, 0.500], [0.684, 0.995, 0.257], [0.316, 0.005, 0.743], [0.260, 0.313, 0.962], [0.148, 0.701, 0.461], [0.260, 0.187, 0.462], [0.316, 0.495, 0.243], [0.684, 0.505, 0.757], [0.740, 0.813, 0.538], [0.740, 0.687, 0.038], [0.852, 0.201, 0.039], [0.148, 0.799, 0.961]]}

=====

{"formula": "NdGaOs", "functional": "PBE-GGA", "state": "optimized geometry", "dft_energy_ev_per_atom": -6.11, "sg": "F-43m, No. 216", "total_magnetization_mub_per_atom": 0.001, "lattice_angstrom": [[0.346, 2.605, 3.705], [-2.939, 3.397, 0.671], [-3.114, -0.308, 3.292]], "species": ["Ga", "Os", "Nd"], "fractional_positions": [[0.000, 0.000, 0.000], [0.750, 0.750, 0.750], [0.250, 0.250, 0.250]]}

=====

{"formula": "AlFeMoIr", "functional": "PBE-GGA", "state": "optimized geometry", "sg": "F-43m, No. 216", "de_polymorph_mev_per_atom": 0, "total_magnetization_mub_per_atom": 0.458, "lattice_angstrom": [[0.000, 3.034, 3.034], [3.034, 0.000, 3.034], [3.034, 3.034, 0.000]], "species": ["Ir", "Al", "Fe", "Mo"], "fractional_positions": [[0.250, 0.250, 0.250], [0.000, 0.000, 0.000], [0.750, 0.750, 0.750], [0.500, 0.500, 0.500]]}